Entry from Alexandria via LeMat-Bulk: crystalline SrGdIn at its relaxed geometry (GGA-PBE).

Output
ρ   5.91 g cm⁻³
Excess energy over the best structure of this formula in the dataset   80 meV/atom
Calculated formation energy   -0.5 eV/f.u.

Cell lengths 5.4946, 5.4946, 3.8660 Å; angles 90.00, 90.00, 120.00 degrees
Space group P3m1 (No. 156)
Symmetry-distinct sites (fractional):
Sr 0.0000 0.0000 0.0000 (multiplicity 1)
Gd 0.3333 0.6667 0.5536 (multiplicity 1)
In 0.6667 0.3333 0.3937 (multiplicity 1)